Compound: MgZn4Cu8
Source: Alexandria via LeMat-Bulk
Functional: SCAN
Structure: PBEsol geometry

## Properties
- magnetic moment (μB per formula unit) = 0.00
- density of states at the Fermi level (states/eV per cell) = 8.8
- E above lowest polymorph (meV per atom) = 20

Unit cell a=8.344 b=8.344 c=4.810 alpha=90.00 beta=90.00 gamma=90.00
Space group I4/mmm (No. 139)
Inequivalent atoms, fractional coordinates:
Mg: 0.000 0.000 0.000 [2 per cell]
Zn: 0.250 0.250 0.250 [8 per cell]
Cu: 0.000 0.214 0.500 [8 per cell]
Cu: 0.000 0.355 0.000 [8 per cell]

***

Compound: MgZn2Cu4
Source: Alexandria via LeMat-Bulk
Functional: SCAN
Structure: PBEsol geometry

## Properties
- magnetic moment (μB per formula unit) = 0.00
- density of states at the Fermi level (states/eV per cell) = 4.1
- E above lowest polymorph (meV per atom) = 2

Unit cell a=6.212 b=6.212 c=4.814 alpha=90.00 beta=90.00 gamma=90.00
Space group I4/mmm (No. 139)
Inequivalent atoms, fractional coordinates:
Mg: 0.000 0.000 0.000 [2 per cell]
Zn: 0.000 0.500 0.250 [4 per cell]
Cu: 0.195 0.195 0.500 [8 per cell]

***

Compound: MgZn2Cu
Source: Alexandria via LeMat-Bulk
Functional: SCAN
Structure: PBEsol geometry

## Properties
- magnetic moment (μB per formula unit) = 0.00
- density of states at the Fermi level (states/eV per cell) = 4.5
- total DFT energy (no corrections) (eV per atom) = -11.748

Unit cell a=2.8275 b=2.8275 c=25.7957 alpha=90.00 beta=90.00 gamma=120.00
Space group R-3m (No. 166, hexagonal axes)
Inequivalent atoms, fractional coordinates:
Mg: 0.0000 0.0000 0.0000 [3 per cell]
Zn: 0.0000 0.0000 0.2423 [6 per cell]
Cu: 0.0000 0.0000 0.5000 [3 per cell]

***

Compound: MgZn2Cu2
Source: Alexandria via LeMat-Bulk
Functional: SCAN
Structure: PBEsol geometry

## Properties
- magnetic moment (μB per formula unit) = 0.00
- density of states at the Fermi level (states/eV per cell) = 3.4
- E above lowest polymorph (meV per atom) = 0

Unit cell a=4.2349 b=4.2349 c=13.0012 alpha=90.00 beta=90.00 gamma=120.00
Space group R-3m (No. 166, hexagonal axes)
Inequivalent atoms, fractional coordinates:
Mg: 0.0000 0.0000 0.0000 [3 per cell]
Zn: 0.0000 0.0000 0.2108 [6 per cell]
Cu: 0.0000 0.0000 0.4071 [6 per cell]

***

Compound: MgZn2Cu4
Source: Alexandria via LeMat-Bulk
Functional: SCAN
Structure: PBEsol geometry

## Properties
- magnetic moment (μB per formula unit) = 0.00
- density of states at the Fermi level (states/eV per cell) = 6.0
- E above lowest polymorph (meV per atom) = 18

Unit cell a=4.1497 b=4.1497 c=18.0522 alpha=90.00 beta=90.00 gamma=120.00
Space group R-3m (No. 166, hexagonal axes)
Inequivalent atoms, fractional coordinates:
Mg: 0.0000 0.0000 0.0000 [3 per cell]
Zn: 0.0000 0.0000 0.2741 [6 per cell]
Cu: 0.0000 0.0000 0.1416 [6 per cell]
Cu: 0.0000 0.0000 0.4292 [6 per cell]

***

Compound: Mg2Zn3Cu
Source: Alexandria via LeMat-Bulk
Functional: SCAN
Structure: PBEsol geometry

## Properties
- magnetic moment (μB per formula unit) = 0.00
- density of states at the Fermi level (states/eV per cell) = 5.0
- E above lowest polymorph (meV per atom) = 0

Unit cell a=5.0523 b=5.0523 c=12.3639 alpha=90.00 beta=90.00 gamma=120.00
Space group R-3m (No. 166, hexagonal axes)
Inequivalent atoms, fractional coordinates:
Mg: 0.0000 0.0000 0.1267 [6 per cell]
Zn: 0.0000 0.5000 0.0000 [9 per cell]
Cu: 0.0000 0.0000 0.5000 [3 per cell]

***

Compound: MgZnCu4
Source: Alexandria via LeMat-Bulk
Functional: SCAN
Structure: PBEsol geometry

## Properties
- magnetic moment (μB per formula unit) = 0.00
- density of states at the Fermi level (states/eV per cell) = 3.8
- total DFT energy (no corrections) (eV per atom) = -13.241

Unit cell a=8.155 b=2.644 c=7.090 alpha=90.00 beta=90.00 gamma=90.00
Space group Pmma (No. 51)
Inequivalent atoms, fractional coordinates:
Mg: 0.250 0.000 0.050 [2 per cell]
Zn: 0.250 0.000 0.680 [2 per cell]
Cu: 0.000 0.000 0.500 [2 per cell]
Cu: 0.015 0.500 0.819 [4 per cell]
Cu: 0.250 0.500 0.376 [2 per cell]

***

Compound: MgZnCu
Source: Alexandria via LeMat-Bulk
Functional: SCAN
Structure: PBEsol geometry

## Properties
- magnetic moment (μB per formula unit) = 0.00
- density of states at the Fermi level (states/eV per cell) = 2.2
- total DFT energy (no corrections) (eV per atom) = -11.497

Unit cell a=5.001 b=5.038 c=6.984 alpha=90.00 beta=90.00 gamma=90.00
Space group Imma (No. 74)
Inequivalent atoms, fractional coordinates:
Mg: 0.000 0.250 0.121 [4 per cell]
Zn: 0.000 0.000 0.500 [4 per cell]
Cu: 0.250 0.250 0.750 [4 per cell]

***

Compound: MgZn2Cu2
Source: Alexandria via LeMat-Bulk
Functional: SCAN
Structure: PBEsol geometry

## Properties
- magnetic moment (μB per formula unit) = 0.00
- density of states at the Fermi level (states/eV per cell) = 5.7
- E above lowest polymorph (meV per atom) = 65

Unit cell a=4.963 b=7.611 c=8.053 alpha=90.00 beta=90.00 gamma=90.00
Space group Fmmm (No. 69)
Inequivalent atoms, fractional coordinates:
Mg: 0.000 0.000 0.000 [4 per cell]
Zn: 0.250 0.250 0.250 [8 per cell]
Cu: 0.000 0.158 0.500 [8 per cell]

***

Compound: MgZn2Cu3
Source: Alexandria via LeMat-Bulk
Functional: SCAN
Structure: PBEsol geometry

## Properties
- magnetic moment (μB per formula unit) = 0.00
- density of states at the Fermi level (states/eV per cell) = 2.3
- total DFT energy (no corrections) (eV per atom) = -13.054

Unit cell a=4.1387 b=4.1387 c=10.8093 alpha=90.00 beta=90.00 gamma=120.00
Space group P6_3/mmc (No. 194)
Inequivalent atoms, fractional coordinates:
Mg: 0.0000 0.0000 0.2500 [2 per cell]
Zn: 0.3333 0.6667 0.0950 [4 per cell]
Cu: 0.0000 0.0000 0.0000 [2 per cell]
Cu: 0.3333 0.6667 0.6328 [4 per cell]

***

Compound: Mg2Zn3Cu
Source: Alexandria via LeMat-Bulk
Functional: SCAN
Structure: PBEsol geometry

## Properties
- magnetic moment (μB per formula unit) = 0.00
- density of states at the Fermi level (states/eV per cell) = 3.6
- E above lowest polymorph (meV per atom) = 11

Unit cell a=5.0426 b=5.0426 c=8.3046 alpha=90.00 beta=90.00 gamma=120.00
Space group P6_3/mmc (No. 194)
Inequivalent atoms, fractional coordinates:
Mg: 0.3333 0.6667 0.0590 [4 per cell]
Zn: 0.1674 0.3348 0.7500 [6 per cell]
Cu: 0.0000 0.0000 0.0000 [2 per cell]

***

Compound: Mg2Zn2Cu
Source: Alexandria via LeMat-Bulk
Functional: SCAN
Structure: PBEsol geometry

## Properties
- magnetic moment (μB per formula unit) = 0.00
- density of states at the Fermi level (states/eV per cell) = 2.9
- E above lowest polymorph (meV per atom) = 7

Unit cell a=4.168 b=5.037 c=7.868 alpha=90.00 beta=90.00 gamma=90.00
Space group Immm (No. 71)
Inequivalent atoms, fractional coordinates:
Mg: 0.000 0.000 0.190 [4 per cell]
Zn: 0.000 0.256 0.500 [4 per cell]
Cu: 0.000 0.500 0.000 [2 per cell]

***

Compound: Mg2ZnCu3
Source: Alexandria via LeMat-Bulk
Functional: SCAN
Structure: PBEsol geometry

## Properties
- magnetic moment (μB per formula unit) = 0.00
- density of states at the Fermi level (states/eV per cell) = 5.1
- E above lowest polymorph (meV per atom) = 0

Unit cell a=4.9785 b=4.9785 c=7.8971 alpha=90.00 beta=90.00 gamma=120.00
Space group P6_3/mmc (No. 194)
Inequivalent atoms, fractional coordinates:
Mg: 0.3333 0.6667 0.0638 [4 per cell]
Zn: 0.0000 0.0000 0.0000 [2 per cell]
Cu: 0.1707 0.3413 0.7500 [6 per cell]